No. 1
This record from the Alexandria database describes HfZr2AgIr after structural relaxation. The functional is GGA-PBE.

The calculation puts the calculated total energy at -6.512 eV/atom. The total magnetization comes out at 0.00 μB/f.u. The polymorph energy (0 for the lowest one) is 98 meV/atom. The calculated formation energy is 120 kJ/mol of atoms.

The structure belongs to space group P4/mmm (No. 123); the cell edges are 5.016, 5.016 and 4.954 Å and the angles 90.00°, 90.00° and 90.00°. The asymmetric unit holds Hf at (0.000, 0.000, 0.000), Zr at (0.000, 0.500, 0.500), Ag at (0.000, 0.000, 0.500) and Ir at (0.500, 0.500, 0.000).

No. 2
This record from the Alexandria database describes HfZr2AgIr after structural relaxation. The functional is GGA-PBE.

The calculation puts the calculated total energy at -6.609 eV/atom. The total magnetization comes out at 0.00 μB/f.u. The polymorph energy (0 for the lowest one) is 0 meV/atom. The calculated formation energy is 110 kJ/mol of atoms.

The structure belongs to space group P4/mmm (No. 123); the cell edges are 4.977, 4.977 and 4.902 Å and the angles 90.00°, 90.00° and 90.00°. The asymmetric unit holds Hf at (0.000, 0.000, 0.000), Zr at (0.000, 0.500, 0.500), Ag at (0.500, 0.500, 0.500) and Ir at (0.500, 0.500, 0.000).

No. 3
This record from the Alexandria database describes K3HfAg after structural relaxation. The functional is GGA-PBE.

The calculation puts the calculated total energy at -2.141 eV/atom. The total magnetization comes out at 3.94 μB/f.u. The polymorph energy (0 for the lowest one) is 0 meV/atom. The calculated formation energy is 104 kJ/mol of atoms.

The structure belongs to space group Pm-3m (No. 221); the cell edges are 6.325, 6.325 and 6.325 Å and the angles 90.00°, 90.00° and 90.00°. The asymmetric unit holds K at (0.000, 0.000, 0.500), Hf at (0.500, 0.500, 0.500) and Ag at (0.000, 0.000, 0.000).

No. 4
This record from the Alexandria database describes KHf2Ag after structural relaxation. The functional is GGA-PBE.

The calculation puts the calculated total energy at -4.920 eV/atom. The total magnetization comes out at 0.00 μB/f.u. The polymorph energy (0 for the lowest one) is 87 meV/atom. The calculated formation energy is 101 kJ/mol of atoms.

The structure belongs to space group Fm-3m (No. 225); the cell edges are 7.123, 7.123 and 7.123 Å and the angles 90.00°, 90.00° and 90.00°. The asymmetric unit holds K at (0.000, 0.000, 0.000), Hf at (0.250, 0.250, 0.250) and Ag at (0.000, 0.000, 0.500).

No. 5
This record from the Alexandria database describes K3HfAg after structural relaxation. The functional is GGA-PBE.

The calculation puts the calculated total energy at -1.908 eV/atom. The total magnetization comes out at 4.00 μB/f.u. The polymorph energy (0 for the lowest one) is 233 meV/atom. The calculated formation energy is 126 kJ/mol of atoms.

The structure belongs to space group Pm-3m (No. 221); the cell edges are 6.695, 6.695 and 6.695 Å and the angles 90.00°, 90.00° and 90.00°. The asymmetric unit holds K at (0.000, 0.000, 0.500), Hf at (0.000, 0.000, 0.000) and Ag at (0.500, 0.500, 0.500).

No. 6
This record from the Alexandria database describes KHf2Ag after structural relaxation. The functional is GGA-PBE.

The calculation puts the calculated total energy at -5.007 eV/atom. The total magnetization comes out at 0.00 μB/f.u. The polymorph energy (0 for the lowest one) is 0 meV/atom. The calculated formation energy is 92 kJ/mol of atoms.

The structure belongs to space group I-42d (No. 122); the cell edges are 4.198, 4.198 and 23.522 Å and the angles 90.00°, 90.00° and 90.00°. The asymmetric unit holds K at (0.000, 0.000, 0.000), Hf at (0.236, 0.250, 0.625) and Ag at (0.000, 0.000, 0.500).

No. 7
This record from the Alexandria database describes KHfAg3 after structural relaxation. The functional is GGA-PBE.

The calculation puts the calculated total energy at -2.436 eV/atom. The total magnetization comes out at 0.71 μB/f.u. The polymorph energy (0 for the lowest one) is 801 meV/atom. The calculated formation energy is 143 kJ/mol of atoms.

The structure belongs to space group Pm-3m (No. 221); the cell edges are 5.154, 5.154 and 5.154 Å and the angles 90.00°, 90.00° and 90.00°. The asymmetric unit holds K at (0.000, 0.000, 0.000), Hf at (0.500, 0.500, 0.500) and Ag at (0.000, 0.000, 0.500).

No. 8
This record from the Alexandria database describes KHfAg3 after structural relaxation. The functional is GGA-PBE.

The calculation puts the calculated total energy at -3.238 eV/atom. The total magnetization comes out at 0.00 μB/f.u. The polymorph energy (0 for the lowest one) is 0 meV/atom. The calculated formation energy is 66 kJ/mol of atoms.

The structure belongs to space group Pm-3m (No. 221); the cell edges are 5.428, 5.428 and 5.428 Å and the angles 90.00°, 90.00° and 90.00°. The asymmetric unit holds K at (0.000, 0.000, 0.000), Hf at (0.500, 0.500, 0.500) and Ag at (0.000, 0.500, 0.500).

calculated total energy of number 7 (KHfAg3)? -2.436 eV/atom

Which formula does entry 4 have? KHf2Ag